Material: Sr2PdBr
Method: DFT, PBE-GGA
State: relaxed

It has space group P4/mmm (No. 123), with a = 3.784 Å, b = 3.784 Å, c = 8.297 Å, α = 90.00°, β = 90.00° and γ = 90.00°. The inequivalent atoms are Sr at (0.000, 0.000, 0.218), Pd at (0.500, 0.500, 0.000) and Br at (0.500, 0.500, 0.500).

For the polymorph energy (0 for the lowest one), the calculation gives 7.7 kJ/mol of atoms. The value obtained for the formation energy (no corrections) is -1.014 eV per atom.